Record 1
## Zn2CuTc (PBE-GGA)

Data for crystalline Zn2CuTc at its relaxed geometry.

Geometry as extended XYZ:
```
4
Lattice="5.054 -0.010 -0.032 -2.340 4.482 0.014 0.373 0.726 2.442" Properties=species:S:1:pos:R:3 pbc="T T T"
Tc 1.357 2.236 -0.009
Zn 2.714 0.358 1.205
Cu -0.984 2.604 1.228
Zn 0.000 0.000 0.000
```

Energy above the lowest structure with this stoichiometry = 60 meV per atom
Symmetry = C2/m, No. 12

***

Record 2
## Rb2MnBr2 (PBE-GGA)

Data for crystalline Rb2MnBr2 at its relaxed geometry.

Geometry as extended XYZ:
```
5
Lattice="6.686 0.000 0.000 0.000 6.686 0.000 3.343 3.343 7.080" Properties=species:S:1:pos:R:3 pbc="T T T"
Br 6.686 3.343 3.540
Br 3.343 6.686 3.540
Rb 3.343 3.343 3.023
Mn 0.000 0.000 0.000
Rb 6.686 6.686 4.057
```

Energy above the lowest structure with this stoichiometry = 64 meV per atom
ΔE_f (raw) = -0.535 eV/atom
Symmetry = I4/mmm, No. 139

***

Copy entry 1 word for word.
## Zn2CuTc (PBE-GGA)

Data for crystalline Zn2CuTc at its relaxed geometry.

Geometry as extended XYZ:
```
4
Lattice="5.054 -0.010 -0.032 -2.340 4.482 0.014 0.373 0.726 2.442" Properties=species:S:1:pos:R:3 pbc="T T T"
Tc 1.357 2.236 -0.009
Zn 2.714 0.358 1.205
Cu -0.984 2.604 1.228
Zn 0.000 0.000 0.000
```

Energy above the lowest structure with this stoichiometry = 60 meV per atom
Symmetry = C2/m, No. 12

***

Number 1 is which compound?
Zn2CuTc